Compound: Cs2NaYI6
Source: Alexandria via LeMat-Bulk
Functional: GGA-PBEsol
Structure: relaxed

Cell lengths 12.080, 12.080, 12.080 Å; angles 90.00, 90.00, 90.00 degrees
Space group Fm-3m (No. 225)
Unique sites:
Cs  0.250  0.250  0.250 (multiplicity 8)
Na  0.000  0.000  0.000 (multiplicity 4)
Y  0.000  0.000  0.500 (multiplicity 4)
I  0.000  0.000  0.254 (multiplicity 24)

Properties
Total moment (μB/atom): 0.00
Total DFT energy (no corrections) (eV/atom): -3.5105
ΔE_f (raw) (eV/atom): -1.4397